# Tm2Al2ZnPd5 GGA-PBE optimized geometry
# total magnetization	0.00	μB per formula unit
# calculated formation energy	-7.47	eV per formula unit
data_Tm2Al2ZnPd5
_chemical_formula_sum 'Tm4 Al4 Zn2 Pd10'
_symmetry_space_group_name_H-M 'P 4/m b m'
_symmetry_Int_Tables_number 127
_symmetry_space_group_name_Hall '-P 4 2ab'
_cell_length_a 10.103
_cell_length_b 10.103
_cell_length_c 3.431
_cell_angle_alpha 90.00
_cell_angle_beta 90.00
_cell_angle_gamma 90.00
loop_
_atom_site_label
_atom_site_fract_x
_atom_site_fract_y
_atom_site_fract_z
Tm1 0.174 0.326 0.000
Al1 0.126 0.626 0.000
Zn1 0.000 0.000 0.000
Pd1 0.000 0.500 0.500
Pd2 0.056 0.798 0.500